1.
VASP calculation (PBE) on a relaxed NaBeSiAu6 crystal.

Values from the calculation:
E_form (uncorrected): 0.000 eV/atom
D(E_F): 0.27 states/eV/atom

abc: 8.172 8.172 8.172
angles: 120.97 119.81 89.33
Atoms (fractional coordinates):
Na1 0.363 0.113 0.250
Na2 0.637 0.887 0.750
Be1 0.000 0.000 0.500
Be2 0.000 0.500 0.000
Si1 0.000 0.500 0.500
Si2 0.500 0.500 0.000
Au1 0.102 0.852 0.250
Au2 0.106 0.391 0.239
Au3 0.106 0.867 0.715
Au4 0.348 0.133 0.739
Au5 0.348 0.609 0.215
Au6 0.366 0.616 0.750
Au7 0.634 0.384 0.250
Au8 0.652 0.391 0.785
Au9 0.652 0.867 0.261
Au10 0.894 0.133 0.285
Au11 0.894 0.609 0.761
Au12 0.898 0.148 0.750

---

2.
VASP calculation (PBE) on a relaxed LaMg2Co crystal.

Values from the calculation:
D(E_F): 1.12 states/eV/atom
Formation energy: 0.290 eV per atom

abc: 5.689 11.501 3.244
angles: 90.00 120.85 90.00
Atoms (fractional coordinates):
La1 0.000 0.000 0.000
La2 0.500 0.500 0.000
Mg1 0.250 0.250 0.500
Mg2 0.250 0.750 0.500
Mg3 0.750 0.250 0.500
Mg4 0.750 0.750 0.500
Co1 0.000 0.500 0.000
Co2 0.500 0.000 0.000

---

3.
VASP calculation (PBE) on a relaxed Nb2Si2Ge crystal.

Values from the calculation:
ΔE to the lowest computed polymorph: 0.0542 eV per atom
E_form (uncorrected): -0.249 eV/atom
D(E_F): 0.84 states/eV/atom

abc: 6.731 6.731 3.515
angles: 90.00 90.00 90.00
Atoms (fractional coordinates):
Nb1 0.173 0.327 0.000
Nb2 0.327 0.827 0.000
Nb3 0.673 0.173 0.000
Nb4 0.827 0.673 0.000
Si1 0.125 0.625 0.500
Si2 0.375 0.125 0.500
Si3 0.625 0.875 0.500
Si4 0.875 0.375 0.500
Ge1 0.000 0.000 0.500
Ge2 0.500 0.500 0.500